Record 1
Here is an optimized crystal structure of Lu4SnPC2 from OQMD. Energies are from PBE.

POSCAR file:
```
Lu4SnPC2
1.0
3.552 0.000 0.000
-1.776 3.076 0.000
0.000 0.000 14.322
Lu Sn P C
4 1 1 2
direct
0.000 0.000 0.133
0.000 0.000 0.867
0.333 0.667 0.315
0.333 0.667 0.685
0.000 0.000 0.500
0.333 0.667 0.000
0.667 0.333 0.230
0.667 0.333 0.770
```

Results
V: 19.6 A^3/atom
total magnetic moment: 0.002 μB/cell
symmetry: No. 187
energy: -51.660 eV per cell
theoretical density: 9.271 g cm⁻³

Record 2
Here is an optimized crystal structure of ZrAl2Co from OQMD. Energies are from PBE.

POSCAR file:
```
ZrAl2Co
1.0
6.262 0.000 0.000
0.000 6.262 0.000
0.000 0.000 6.262
Zr Al Co
4 8 4
direct
0.000 0.000 0.000
0.000 0.500 0.500
0.500 0.000 0.500
0.500 0.500 0.000
0.000 0.000 0.500
0.000 0.500 0.000
0.250 0.250 0.750
0.250 0.750 0.250
0.500 0.000 0.000
0.500 0.500 0.500
0.750 0.250 0.250
0.750 0.750 0.750
0.250 0.250 0.250
0.250 0.750 0.750
0.750 0.250 0.750
0.750 0.750 0.250
```

Results
V: 15.3 A^3/atom
total magnetic moment: 0.227 μB/cell
symmetry: No. 216
energy: -97.907 eV per cell
theoretical density: 5.523 g cm⁻³

Record 3
Here is an optimized crystal structure of LuBi from OQMD. Energies are from PBE.

POSCAR file:
```
LuBi
1.0
6.325 0.000 0.000
0.000 5.210 0.000
0.000 0.000 7.717
Lu Bi
4 4
direct
0.000 0.000 0.000
0.250 0.500 0.201
0.500 0.000 0.000
0.750 0.500 0.799
0.250 0.000 0.366
0.250 0.500 0.795
0.750 0.000 0.634
0.750 0.500 0.205
```

Results
V: 31.8 A^3/atom
total magnetic moment: 0.000 μB/cell
symmetry: No. 51
energy: -36.809 eV per cell
theoretical density: 10.027 g cm⁻³

Record 4
Here is an optimized crystal structure of Y2NiH6Os from OQMD. Energies are from PBE.

POSCAR file:
```
Y2NiH6Os
1.0
0.000 3.601 3.601
3.601 0.000 3.601
3.601 3.601 0.000
Y Ni H Os
2 1 6 1
direct
0.250 0.250 0.250
0.750 0.750 0.750
0.000 0.000 0.000
0.251 0.251 0.749
0.251 0.749 0.251
0.251 0.749 0.749
0.749 0.251 0.251
0.749 0.251 0.749
0.749 0.749 0.251
0.500 0.500 0.500
```

Results
V: 9.3 A^3/atom
total magnetic moment: 0.001 μB/cell
symmetry: No. 225
energy: -54.006 eV per cell
theoretical density: 7.694 g cm⁻³

Record 5
Here is an optimized crystal structure of Rb2PrSe3 from OQMD. Energies are from PBE.

POSCAR file:
```
Rb2PrSe3
1.0
8.354 -3.142 0.000
8.354 3.142 0.000
-5.477 0.000 9.048
Rb Pr Se
4 2 6
direct
0.025 0.025 0.241
0.319 0.319 0.967
0.681 0.681 0.033
0.975 0.975 0.759
0.306 0.306 0.405
0.694 0.694 0.595
0.170 0.170 0.102
0.230 0.230 0.594
0.308 0.692 0.500
0.692 0.308 0.500
0.770 0.770 0.406
0.830 0.830 0.898
```

Results
V: 39.6 A^3/atom
total magnetic moment: 0.007 μB/cell
symmetry: No. 12
energy: -50.120 eV per cell
theoretical density: 3.837 g cm⁻³

Record 6
Here is an optimized crystal structure of Pr4SiGe3 from OQMD. Energies are from PBE.

POSCAR file:
```
Pr4SiGe3
1.0
6.024 0.000 0.000
0.000 4.062 0.000
-0.008 0.000 8.366
Pr Si Ge
4 1 3
direct
0.000 0.000 0.000
0.231 0.500 0.358
0.501 0.500 0.860
0.734 0.000 0.495
0.746 0.500 0.215
0.253 0.000 0.640
0.489 0.000 0.142
0.982 0.500 0.717
```

Results
V: 25.6 A^3/atom
total magnetic moment: 0.045 μB/cell
symmetry: No. 6
energy: -44.875 eV per cell
theoretical density: 6.568 g cm⁻³

Record 7
Here is an optimized crystal structure of KCdNO from OQMD. Energies are from PBE.

POSCAR file:
```
KCdNO
1.0
4.379 0.000 0.000
0.000 4.379 0.000
0.000 0.000 9.305
K Cd N O
2 2 2 2
direct
0.250 0.250 0.147
0.750 0.750 0.853
0.250 0.750 0.500
0.750 0.250 0.500
0.250 0.250 0.466
0.750 0.750 0.534
0.250 0.750 0.000
0.750 0.250 0.000
```

Results
V: 22.3 A^3/atom
symmetry: No. 129
relative energy among the computed polymorphs: 214 meV/atom
theoretical density: 3.378 g cm⁻³

Record 8
Here is an optimized crystal structure of Sc4CdSbN2 from OQMD. Energies are from PBE.

POSCAR file:
```
Sc4CdSbN2
1.0
3.286 0.000 0.000
-1.643 2.846 0.000
0.000 0.000 14.543
Sc Cd Sb N
4 1 1 2
direct
0.000 0.000 0.162
0.000 0.000 0.838
0.667 0.333 0.326
0.667 0.333 0.674
0.000 0.000 0.500
0.667 0.333 0.000
0.333 0.667 0.243
0.333 0.667 0.757
```

Results
V: 17.0 A^3/atom
total magnetic moment: 0.120 μB/cell
symmetry: No. 187
energy: -56.326 eV per cell
theoretical density: 5.398 g cm⁻³

Record 9
Here is an optimized crystal structure of NbAlCoPt from OQMD. Energies are from PBE.

POSCAR file:
```
NbAlCoPt
1.0
6.197 0.000 0.000
0.000 6.197 0.000
0.000 0.000 6.197
Nb Al Co Pt
4 4 4 4
direct
0.000 0.000 0.000
0.000 0.500 0.500
0.500 0.000 0.500
0.500 0.500 0.000
0.000 0.000 0.500
0.000 0.500 0.000
0.500 0.000 0.000
0.500 0.500 0.500
0.250 0.250 0.750
0.250 0.750 0.250
0.750 0.250 0.250
0.750 0.750 0.750
0.250 0.250 0.250
0.250 0.750 0.750
0.750 0.250 0.750
0.750 0.750 0.250
```

Results
V: 14.9 A^3/atom
total magnetic moment: 5.358 μB/cell
symmetry: No. 216
relative energy among the computed polymorphs: 0 meV/atom
theoretical density: 10.437 g cm⁻³

Record 10
Here is an optimized crystal structure of NdLu from OQMD. Energies are from PBE.

POSCAR file:
```
NdLu
1.0
6.990 0.000 0.000
0.000 6.990 0.000
0.000 0.000 6.990
Nd Lu
4 4
direct
0.000 0.000 0.000
0.000 0.500 0.500
0.500 0.000 0.500
0.500 0.500 0.000
0.250 0.250 0.250
0.250 0.750 0.750
0.750 0.250 0.750
0.750 0.750 0.250
```

Results
V: 42.7 A^3/atom
total magnetic moment: 0.006 μB/cell
formation energy from the elements: 1.734 eV per atom
symmetry: No. 216
relative energy among the computed polymorphs: 1690 meV/atom
theoretical density: 6.209 g cm⁻³

Record 11
Here is an optimized crystal structure of Li4Nd2O5 from OQMD. Energies are from PBE.

POSCAR file:
```
Li4Nd2O5
1.0
2.348 -6.951 0.000
2.348 6.951 0.000
0.000 0.000 4.651
Li Nd O
4 2 5
direct
0.000 0.000 0.000
0.189 0.811 0.500
0.500 0.500 0.500
0.811 0.189 0.500
0.341 0.659 0.000
0.659 0.341 0.000
0.158 0.842 0.000
0.339 0.661 0.500
0.500 0.500 0.000
0.661 0.339 0.500
0.842 0.158 0.000
```

Results
V: 13.8 A^3/atom
total magnetic moment: 0.000 μB/cell
symmetry: No. 65
energy: -67.997 eV per cell
theoretical density: 4.334 g cm⁻³

Record 12
Here is an optimized crystal structure of NaTe2OsAuSe from OQMD. Energies are from PBE.

POSCAR file:
```
NaTe2OsAuSe
1.0
1.990 -7.226 0.000
1.990 7.226 0.000
0.000 0.000 10.302
Na Te Os Au Se
2 4 2 2 2
direct
0.248 0.752 0.750
0.752 0.248 0.250
0.375 0.625 0.000
0.375 0.625 0.500
0.625 0.375 0.000
0.625 0.375 0.500
0.000 0.000 0.000
0.000 0.000 0.500
0.408 0.592 0.250
0.592 0.408 0.750
0.056 0.944 0.250
0.944 0.056 0.750
```

Results
V: 24.7 A^3/atom
total magnetic moment: 0.010 μB/cell
symmetry: No. 63
energy: -51.104 eV per cell
theoretical density: 8.344 g cm⁻³

Record 13
Here is an optimized crystal structure of PrZnGa from OQMD. Energies are from PBE.

POSCAR file:
```
PrZnGa
1.0
4.491 0.000 0.000
-2.245 3.889 0.000
0.000 0.000 7.766
Pr Zn Ga
2 2 2
direct
0.000 0.000 0.000
0.000 0.000 0.500
0.333 0.667 0.250
0.667 0.333 0.750
0.333 0.667 0.750
0.667 0.333 0.250
```

Results
V: 22.6 A^3/atom
total magnetic moment: 0.000 μB/cell
symmetry: No. 194
energy: -21.371 eV per cell
theoretical density: 6.759 g cm⁻³

Record 14
Here is an optimized crystal structure of DyTaN2O from OQMD. Energies are from PBE.

POSCAR file:
```
DyTaN2O
1.0
7.874 0.000 0.000
0.000 7.960 0.000
-7.784 0.000 7.874
Dy Ta N O
8 8 16 8
direct
0.214 0.010 0.475
0.214 0.490 0.975
0.238 0.504 0.495
0.238 0.996 0.995
0.762 0.004 0.005
0.762 0.496 0.505
0.786 0.510 0.025
0.786 0.990 0.525
0.266 0.249 0.256
0.266 0.251 0.756
0.269 0.746 0.763
0.269 0.754 0.263
0.731 0.246 0.737
0.731 0.254 0.237
0.734 0.749 0.244
0.734 0.751 0.744
0.179 0.004 0.203
0.179 0.496 0.703
0.238 0.504 0.267
0.238 0.996 0.767
0.426 0.238 0.676
0.426 0.262 0.176
0.430 0.718 0.002
0.430 0.782 0.502
0.570 0.218 0.498
0.570 0.282 0.998
0.574 0.738 0.824
0.574 0.762 0.324
0.762 0.004 0.233
0.762 0.496 0.733
0.821 0.504 0.297
0.821 0.996 0.797
0.077 0.723 0.002
0.077 0.777 0.502
0.079 0.245 0.829
0.079 0.255 0.329
0.921 0.745 0.671
0.921 0.755 0.171
0.923 0.223 0.498
0.923 0.277 0.998
```

Results
V: 12.3 A^3/atom
total magnetic moment: 0.003 μB/cell
symmetry: No. 14
energy: -381.758 eV per cell
theoretical density: 10.429 g cm⁻³

Record 15
Here is an optimized crystal structure of TcF from OQMD. Energies are from PBE.

POSCAR file:
```
TcF
1.0
2.599 0.000 0.000
-1.300 2.251 0.000
0.000 0.000 3.991
Tc F
1 1
direct
0.000 0.000 0.000
0.333 0.667 0.500
```

Results
V: 11.7 A^3/atom
total magnetic moment: 0.005 μB/cell
symmetry: No. 187
relative energy among the computed polymorphs: 0 meV/atom
theoretical density: 8.320 g cm⁻³

Record 16
Here is an optimized crystal structure of ZrSc2Si2Ni4Ge2 from OQMD. Energies are from PBE.

POSCAR file:
```
ZrSc2Si2Ni4Ge2
1.0
-1.951 3.254 6.406
1.951 -3.254 6.406
1.951 3.254 -6.406
Zr Sc Si Ni Ge
1 2 2 4 2
direct
0.000 0.000 0.000
0.375 0.875 0.500
0.625 0.125 0.500
0.308 0.500 0.808
0.692 0.500 0.192
0.025 0.328 0.697
0.369 0.672 0.697
0.631 0.328 0.303
0.975 0.672 0.303
0.219 0.219 0.000
0.781 0.781 0.000
```

Results
V: 14.8 A^3/atom
total magnetic moment: 0.020 μB/cell
symmetry: No. 71
relative energy among the computed polymorphs: 59 meV/atom
theoretical density: 6.302 g cm⁻³

Record 17
Here is an optimized crystal structure of DyUPd from OQMD. Energies are from PBE.

POSCAR file:
```
DyUPd
1.0
6.838 0.000 0.000
0.000 6.838 0.000
0.000 0.000 6.838
Dy U Pd
4 4 4
direct
0.000 0.000 0.000
0.000 0.500 0.500
0.500 0.000 0.500
0.500 0.500 0.000
0.000 0.000 0.500
0.000 0.500 0.000
0.500 0.000 0.000
0.500 0.500 0.500
0.250 0.250 0.250
0.250 0.750 0.750
0.750 0.250 0.750
0.750 0.750 0.250
```

Results
V: 26.6 A^3/atom
total magnetic moment: 14.993 μB/cell
formation energy from the elements: 0.170 eV per atom
symmetry: No. 216
relative energy among the computed polymorphs: 0 meV/atom
theoretical density: 10.533 g cm⁻³

Record 18
Here is an optimized crystal structure of Ba2Lu from OQMD. Energies are from PBE.

POSCAR file:
```
Ba2Lu
1.0
0.000 5.235 5.235
5.235 0.000 5.235
5.235 5.235 0.000
Ba Lu
4 2
direct
0.000 0.000 0.000
0.000 0.000 0.500
0.000 0.500 0.000
0.500 0.000 0.000
0.375 0.375 0.375
0.625 0.625 0.625
```

Results
V: 47.8 A^3/atom
total magnetic moment: 0.010 μB/cell
symmetry: No. 227
relative energy among the computed polymorphs: 0 meV/atom
theoretical density: 5.204 g cm⁻³

Record 19
Here is an optimized crystal structure of BaHgPt from OQMD. Energies are from PBE.

POSCAR file:
```
BaHgPt
1.0
7.225 0.000 0.000
0.000 7.225 0.000
0.000 0.000 7.225
Ba Hg Pt
4 4 4
direct
0.000 0.000 0.000
0.000 0.500 0.500
0.500 0.000 0.500
0.500 0.500 0.000
0.000 0.000 0.500
0.000 0.500 0.000
0.500 0.000 0.000
0.500 0.500 0.500
0.250 0.250 0.250
0.250 0.750 0.750
0.750 0.250 0.750
0.750 0.750 0.250
```

Results
V: 31.4 A^3/atom
total magnetic moment: 0.003 μB/cell
symmetry: No. 216
energy: -39.477 eV per cell
theoretical density: 9.386 g cm⁻³

Record 20
Here is an optimized crystal structure of UTaRe from OQMD. Energies are from PBE.

POSCAR file:
```
UTaRe
1.0
6.265 0.000 0.000
0.000 6.265 0.000
0.000 0.000 6.265
U Ta Re
4 4 4
direct
0.000 0.000 0.000
0.000 0.500 0.500
0.500 0.000 0.500
0.500 0.500 0.000
0.250 0.250 0.250
0.250 0.750 0.750
0.750 0.250 0.750
0.750 0.750 0.250
0.250 0.250 0.750
0.250 0.750 0.250
0.750 0.250 0.250
0.750 0.750 0.750
```

Results
V: 20.5 A^3/atom
total magnetic moment: 0.032 μB/cell
formation energy from the elements: 1.017 eV per atom
symmetry: No. 216
relative energy among the computed polymorphs: 474 meV/atom
theoretical density: 16.348 g cm⁻³